This record from Alexandria describes Zn2TeCl after structural relaxation. The functional is GGA-PBE.

Summary:
Offset from the most stable computed form = 0.0 meV per atom
Volume = 22.7 Å³ per atom
Formation energy without anion corrections = -0.3512 eV per atom
Energy = -2.235 eV/atom
DOS(E_F) = 0.17 states/eV/atom

Lattice parameters (Å, degrees): 4.0472 4.0472 5.5529 90.00 90.00 90.00
Last column: nearest neighbours and their distance in Å.
Space group P4mm (No. 99)
Symmetry-distinct sites (fractional):
1 Zn 0.0000 0.0000 0.0000  2 Cl 2.73-2.82, 4 Te 2.86
2 Zn 0.5000 0.5000 0.4926  2 Te 2.78, 4 Cl 2.86
3 Te 0.5000 0.5000 0.9927  6 Zn 2.78-2.86
4 Cl 0.0000 0.0000 0.4925  6 Zn 2.73-2.86